1.
VASP calculation (PBE) on crystalline Mg6Si2Sn at its relaxed geometry.

Properties
Spin magnetization in μB/f.u.: 0.0
Crystal system: orthorhombic
Theoretical density in g/cm3: 2.8
Raw formation energy in meV per atom: -62

Lattice parameters (Å, degrees): 8.5842 9.1854 9.7113 90.00 90.00 90.00
Last column: nearest neighbours and their distance in Å.
Space group Immm (No. 71)
Inequivalent atoms, fractional coordinates:
Mg  0.0000  0.2228  0.2440  2 Si 2.72-2.87
Mg  0.2184  0.5000  0.1839  3 Si 2.67-2.86
Mg  0.2237  0.3028  0.5000  3 Si 2.84-2.89, 1 Sn 2.98
Si  0.0000  0.3677  0.0000  1 Si 2.43, 2 Mg 2.72
Si  0.0000  0.5000  0.3795  1 Si 2.34
Sn  0.0000  0.0000  0.0000  8 Mg 2.98-3.13
Sn  0.0000  0.0000  0.5000  8 Mg 3.01-3.22

2.
VASP calculation (PBE) on crystalline LiAgP2 at its relaxed geometry.

Properties
Spin magnetization in μB/f.u.: 0.0
Energy relative to the lowest polymorph listed for this composition in eV/atom: 0.0808
Crystal system: orthorhombic
Theoretical density in g/cm3: 4.3

Lattice parameters (Å, degrees): 3.1823 4.1164 10.3360 90.00 90.00 90.00
Last column: nearest neighbours and their distance in Å.
Space group Imm2 (No. 44)
Inequivalent atoms, fractional coordinates:
Li  0.0000  0.0000  0.0000  6 P 2.60-2.67
Ag  0.0000  0.5000  0.2173  6 P 2.83-2.87, 2 Li 3.05
P  0.0000  0.0000  0.4911  2 P 2.26
P  0.0000  0.5000  0.8354  2 P 2.26

Q: Look up the theoretical density of the second one.
A: 4.3 g/cm3

Q: theoretical density of number 1 (Mg6Si2Sn)?
A: 2.8 g/cm3

Q: What is the formula in the second record?
A: LiAgP2